1.
A relaxed structure of ZnIF2. Source: Alexandria, functional PBE.

Calculated values
Space group ... Fm-3m
E above lowest polymorph ... 4.07 eV/f.u.

a = 4.5343 Å, b = 4.5343 Å, c = 4.5343 Å
α = 60.00°, β = 60.00°, γ = 60.00°
Closest atoms and distances in Å follow each position.
Fractional positions:
I 0.5000 0.5000 0.5000  8 F 2.78
F 0.7500 0.7500 0.7500  4 I 2.78, 4 Zn 2.78
F 0.2500 0.2500 0.2500  4 I 2.78, 4 Zn 2.78
Zn 0.0000 0.0000 0.0000  8 F 2.78

***

2.
A relaxed structure of ZrPd2Se4. Source: Alexandria, functional PBE.

Calculated values
Space group ... Cmcm
Final energy ... -5.353 eV/atom

a = 3.6836 Å, b = 6.6963 Å, c = 12.2315 Å
α = 90.00°, β = 90.00°, γ = 105.96°
Closest atoms and distances in Å follow each position.
Fractional positions:
Pd 0.1306 0.2612 0.0734  6 Se 2.49-2.77
Se 0.9653 0.9307 0.7500  2 Pd 2.49, 2 Zr 2.73
Pd 0.8694 0.7388 0.9266  6 Se 2.49-2.77
Pd 0.1306 0.2612 0.4266  6 Se 2.49-2.77
Pd 0.8694 0.7388 0.5734  6 Se 2.49-2.77
Se 0.7874 0.5747 0.3870  3 Pd 2.51-2.77, 2 Zr 2.75
Se 0.5000 0.0000 0.5000  4 Pd 2.65
Se 0.0347 0.0693 0.2500  2 Pd 2.49, 2 Zr 2.73
Se 0.2126 0.4253 0.8870  3 Pd 2.51-2.77, 2 Zr 2.75
Se 0.5000 0.0000 0.0000  4 Pd 2.65
Se 0.2126 0.4253 0.6130  3 Pd 2.51-2.77, 2 Zr 2.75
Zr 0.6214 0.2428 0.7500  6 Se 2.73-2.75
Zr 0.3786 0.7572 0.2500  6 Se 2.73-2.75
Se 0.7874 0.5747 0.1130  3 Pd 2.51-2.77, 2 Zr 2.75

***

3.
A relaxed structure of UTi2Fe. Source: Alexandria, functional PBE.

Calculated values
Space group ... P4/mmm
E above lowest polymorph ... 0.00 eV/f.u.

a = 2.9047 Å, b = 2.9047 Å, c = 7.6479 Å
α = 90.00°, β = 90.00°, γ = 90.00°
Closest atoms and distances in Å follow each position.
Fractional positions:
U 0.5000 0.5000 0.5000  4 U 2.90, 8 Ti 3.10
Ti 0.0000 0.0000 0.1959  4 Fe 2.54
Fe 0.5000 0.5000 0.0000  8 Ti 2.54
Ti 0.0000 0.0000 0.8041  4 Fe 2.54

***

4.
A relaxed structure of RbCuBi2Cl8. Source: Alexandria, functional PBE.

Calculated values
Space group ... P-1
Final energy ... -3.351 eV/atom

a = 6.8686 Å, b = 8.4560 Å, c = 8.4062 Å
α = 99.86°, β = 89.35°, γ = 66.95°
Closest atoms and distances in Å follow each position.
Fractional positions:
Cl 0.0493 0.7905 0.8052  1 Cu 2.11
Cl 0.4732 0.2930 0.4997  2 Bi 2.72-2.92
Cl 0.9507 0.2095 0.1948  1 Cu 2.11
Cl 0.5360 0.7029 0.0686  2 Bi 2.68-2.85
Cl 0.0988 0.6216 0.2692  1 Bi 2.54
Rb 0.0000 0.0000 0.5000  6 Cl 3.26-3.49
Cl 0.4640 0.2971 0.9314  2 Bi 2.68-2.85
Cu 0.0000 0.0000 0.0000  2 Cl 2.11
Cl 0.5268 0.7070 0.5003  2 Bi 2.72-2.92
Cl 0.9012 0.3784 0.7308  1 Bi 2.54
Bi 0.4986 0.5243 0.7586  3 Cl 2.54-2.72
Bi 0.5014 0.4757 0.2414  3 Cl 2.54-2.72

***

5.
A relaxed structure of SrOsPt. Source: Alexandria, functional PBE.

Calculated values
Space group ... P-6m2
E above lowest polymorph ... 0.79 eV/f.u.

a = 4.7996 Å, b = 4.7996 Å, c = 2.9757 Å
α = 90.00°, β = 90.00°, γ = 120.00°
Closest atoms and distances in Å follow each position.
Fractional positions:
Os 0.0000 0.0000 0.1668  3 Pt 2.77, 2 Os 2.98
Pt 0.6667 0.3333 0.1665  3 Os 2.77, 2 Pt 2.98
Sr 0.3333 0.6667 0.6666  2 Sr 2.98, 6 Os 3.14-3.15, 6 Pt 3.15

***

6.
A relaxed structure of PmZr4Rh5. Source: Alexandria, functional PBE.

Calculated values
Space group ... P4/mmm
Final energy ... -8.329 eV/atom

a = 3.3264 Å, b = 3.3264 Å, c = 16.9719 Å
α = 90.00°, β = 90.00°, γ = 90.00°
Closest atoms and distances in Å follow each position.
Fractional positions:
Rh 0.5000 0.5000 0.6906  8 Zr 2.85-2.90, 1 Rh 3.14
Rh 0.5000 0.5000 0.5000  8 Zr 2.86
Pm 0.0000 0.0000 0.0000  8 Rh 3.16, 4 Pm 3.33
Zr 0.0000 0.0000 0.7908  8 Rh 2.76-2.90
Rh 0.5000 0.5000 0.1242  4 Zr 2.76
Zr 0.0000 0.0000 0.4040  8 Rh 2.85-2.86
Zr 0.0000 0.0000 0.2092  8 Rh 2.76-2.90
Rh 0.5000 0.5000 0.8758  4 Zr 2.76
Rh 0.5000 0.5000 0.3094  8 Zr 2.85-2.90, 1 Rh 3.14
Zr 0.0000 0.0000 0.5960  8 Rh 2.85-2.86

***

7.
A relaxed structure of LiP2HN. Source: Alexandria, functional PBE.

Calculated values
Space group ... P4/mmm
Final energy ... -3.243 eV/atom

a = 4.2604 Å, b = 3.4073 Å, c = 4.2604 Å
α = 90.00°, β = 90.00°, γ = 90.00°
Closest atoms and distances in Å follow each position.
Fractional positions:
P 0.0000 0.0000 0.5000  2 Li 2.13
Li 0.0000 0.0000 0.0000  2 N 1.70
H 0.5000 0.5000 0.5000  8 P 2.73, 4 N 3.01
P 0.5000 0.0000 0.0000  2 Li 2.13
N 0.0000 0.5000 0.0000  2 Li 1.70

***

8.
A relaxed structure of AlPd2C. Source: Alexandria, functional PBE.

Calculated values
Space group ... Fm-3m
E above lowest polymorph ... 0.78 eV/f.u.

a = 4.1887 Å, b = 4.1887 Å, c = 4.1887 Å
α = 60.00°, β = 60.00°, γ = 60.00°
Closest atoms and distances in Å follow each position.
Fractional positions:
Al 0.5000 0.5000 0.5000  8 Pd 2.57
C 0.0000 0.0000 0.0000  8 Pd 2.57
Pd 0.7500 0.7500 0.7500  4 C 2.57, 4 Al 2.57
Pd 0.2500 0.2500 0.2500  4 Al 2.57, 4 C 2.57

***

Please write out number 8 again, unchanged.
A relaxed structure of AlPd2C. Source: Alexandria, functional PBE.

Calculated values
Space group ... Fm-3m
E above lowest polymorph ... 0.78 eV/f.u.

a = 4.1887 Å, b = 4.1887 Å, c = 4.1887 Å
α = 60.00°, β = 60.00°, γ = 60.00°
Closest atoms and distances in Å follow each position.
Fractional positions:
Al 0.5000 0.5000 0.5000  8 Pd 2.57
C 0.0000 0.0000 0.0000  8 Pd 2.57
Pd 0.7500 0.7500 0.7500  4 C 2.57, 4 Al 2.57
Pd 0.2500 0.2500 0.2500  4 Al 2.57, 4 C 2.57